(1)
The following is a PBE calculation of Sr2Ag2Ge after structural relaxation, from the Alexandria database.

Summary:
**Energy above the most stable polymorph in this dataset**: 0.52 eV/f.u.
**Calculated formation energy**: -0.26 eV/atom
**Calculated density**: 5.42 g/cm3
**Symmetry**: I4/mmm, No. 139

Cell and atoms, written as POSCAR:
```
Sr2Ag2Ge
1.0
3.897 0.000 0.000
0.000 3.897 0.000
1.949 1.949 9.356
Ag Sr Ge
2 2 1
Direct
0.750 0.250 0.500
0.250 0.750 0.500
0.601 0.601 0.797
0.399 0.399 0.203
0.000 0.000 0.000
```

=====

(2)
The following is a PBE calculation of SmY2Hg after structural relaxation, from the Alexandria database.

Summary:
**Energy above the most stable polymorph in this dataset**: 0.26 eV/f.u.
**Calculated formation energy**: -0.18 eV/atom
**Calculated density**: 7.20 g/cm3
**Symmetry**: R-3m, No. 166

Cell and atoms, written as POSCAR:
```
SmY2Hg
1.0
-0.195 3.242 -1.649
-1.960 0.379 -3.047
-9.271 3.644 4.239
Sm Y Hg
1 2 1
Direct
0.500 0.500 0.500
0.258 0.258 0.225
0.742 0.742 0.775
0.000 0.000 0.000
```